The following is a DFT calculation (GGA-PBE) of CrIr2Rh after structural relaxation.

Output
**Symmetry**: P4mm (99)
**E_form**: -0.057 eV/atom

a = 2.699 Å, b = 2.699 Å, c = 7.574 Å
α = 90.00°, β = 90.00°, γ = 89.99°
Fractional coordinates of all 4 atoms:
Cr: 0.500 0.500 0.751
Ir: 0.000 0.000 0.988
Ir: 0.500 0.500 0.249
Rh: 0.000 0.000 0.513


The following is a DFT calculation (GGA-PBE) of PmPr2Y2Sc after structural relaxation.

Output
**Symmetry**: Pmma (51)
**E_form**: 0.075 eV/atom

a = 5.657 Å, b = 7.080 Å, c = 9.762 Å
α = 90.00°, β = 90.00°, γ = 90.00°
Fractional coordinates of all 12 atoms:
Pm: 0.000 0.008 0.500
Pm: 0.000 0.508 0.500
Pr: 0.000 0.257 0.828
Pr: 0.500 0.258 0.337
Pr: 0.000 0.757 0.172
Pr: 0.500 0.758 0.663
Y: 0.500 0.007 0.000
Y: 0.000 0.257 0.163
Y: 0.500 0.507 0.000
Y: 0.000 0.757 0.837
Sc: 0.500 0.258 0.671
Sc: 0.500 0.758 0.329


The following is a DFT calculation (GGA-PBE) of Al3VRh after structural relaxation.

Output
**Symmetry**: Pm-3m (221)
**Energy above the lowest structure with this stoichiometry**: 0 meV/atom
**E_form**: 0.207 eV/atom

a = 4.622 Å, b = 4.622 Å, c = 4.622 Å
α = 90.00°, β = 90.00°, γ = 90.00°
Fractional coordinates of all 5 atoms:
Rh: 0.000 0.000 0.000
Al: 0.000 0.500 0.000
Al: 0.000 0.000 0.500
Al: 0.500 0.000 0.000
V: 0.500 0.500 0.500


The following is a DFT calculation (GGA-PBE) of BiPbS2 after structural relaxation.

Output
**Symmetry**: R3m (160)
**Formation energy from raw total energies**: -0.28 eV per atom

a = 3.915 Å, b = 3.915 Å, c = 8.216 Å
α = 76.22°, β = 76.22°, γ = 60.00°
Fractional coordinates of all 4 atoms:
Bi: 0.667 0.667 0.999
Pb: 0.498 0.498 0.505
S: 0.076 0.076 0.773
S: 0.259 0.259 0.223


The following is a DFT calculation (GGA-PBE) of AlBiI2 after structural relaxation.

Output
**Symmetry**: Fm-3m (225)
**Energy above the lowest structure with this stoichiometry**: 30 meV/atom
**Formation energy from raw total energies**: 0.28 eV per atom

a = 5.626 Å, b = 5.626 Å, c = 5.626 Å
α = 60.00°, β = 60.00°, γ = 60.00°
Fractional coordinates of all 4 atoms:
I: 0.250 0.250 0.250
I: 0.750 0.750 0.750
Bi: 0.500 0.500 0.500
Al: 0.000 0.000 0.000


The following is a DFT calculation (GGA-PBE) of LaTmRu after structural relaxation.

Output
**Symmetry**: F-43m (216)
**Energy above the lowest structure with this stoichiometry**: 43 meV/atom
**E_form**: -0.240 eV/atom

a = 4.856 Å, b = 4.856 Å, c = 4.856 Å
α = 60.00°, β = 60.00°, γ = 60.00°
Fractional coordinates of all 3 atoms:
Ru: 0.250 0.250 0.250
Tm: 0.000 0.000 0.000
La: 0.500 0.500 0.500


The following is a DFT calculation (GGA-PBE) of LaDy2Th2 after structural relaxation.

Output
**Symmetry**: R-3m (166)
**Energy above the lowest structure with this stoichiometry**: 0 meV/atom
**E_form**: 0.018 eV/atom

a = 3.601 Å, b = 3.601 Å, c = 14.761 Å
α = 82.99°, β = 82.99°, γ = 60.00°
Fractional coordinates of all 5 atoms:
La: 0.000 0.000 0.000
Dy: 0.402 0.402 0.794
Dy: 0.598 0.598 0.206
Th: 0.801 0.801 0.597
Th: 0.199 0.199 0.403


no.,total energy (eV per formula unit)
1,-34.9
2,-33.1
3,-26.7
4,-17.0
5,-9.6
6,-19.4
7,-28.9